The following is a DFT calculation (PBE) of crystalline DyScZnIn at its relaxed geometry.

Output
**Symmetry**: F-43m (216)
**DFT formation energy**: -1.54 eV/f.u.
**Distance to the lowest polymorph of the same formula**: 27 meV per atom

The structure in CIF format:
```
data_DyScZnIn
_cell_length_a 5.052
_cell_length_b 5.052
_cell_length_c 5.052
_cell_angle_alpha 60.00
_cell_angle_beta 60.00
_cell_angle_gamma 60.00
_symmetry_space_group_name_H-M 'P 1'
_symmetry_Int_Tables_number 1
_symmetry_space_group_name_Hall 'P 1'
loop_
_atom_site_label
_atom_site_fract_x
_atom_site_fract_y
_atom_site_fract_z
Sc1 0.250 0.250 0.250
Zn1 0.000 0.000 0.000
In1 0.500 0.500 0.500
Dy1 0.750 0.750 0.750
```



The following is a DFT calculation (PBE) of crystalline DySc2Zn2In2 at its relaxed geometry.

Output
**Symmetry**: R-3m (166)
**DFT formation energy**: -1.78 eV/f.u.

The structure in CIF format:
```
data_DySc2Zn2In2
_cell_length_a 4.641
_cell_length_b 4.641
_cell_length_c 8.866
_cell_angle_alpha 74.83
_cell_angle_beta 74.83
_cell_angle_gamma 60.00
_symmetry_space_group_name_H-M 'P 1'
_symmetry_Int_Tables_number 1
_symmetry_space_group_name_Hall 'P 1'
loop_
_atom_site_label
_atom_site_fract_x
_atom_site_fract_y
_atom_site_fract_z
Dy1 0.000 0.000 0.000
Sc1 0.136 0.136 0.593
Sc2 0.864 0.864 0.407
Zn1 0.562 0.562 0.315
Zn2 0.438 0.438 0.685
In1 0.738 0.738 0.785
In2 0.262 0.262 0.215
```



The following is a DFT calculation (PBE) of crystalline DyScZnIn at its relaxed geometry.

Output
**Symmetry**: P4mm (99)
**DFT formation energy**: -1.65 eV/f.u.
**Distance to the lowest polymorph of the same formula**: 0 meV per atom

The structure in CIF format:
```
data_DyScZnIn
_cell_length_a 3.539
_cell_length_b 3.539
_cell_length_c 7.192
_cell_angle_alpha 90.00
_cell_angle_beta 90.00
_cell_angle_gamma 90.00
_symmetry_space_group_name_H-M 'P 1'
_symmetry_Int_Tables_number 1
_symmetry_space_group_name_Hall 'P 1'
loop_
_atom_site_label
_atom_site_fract_x
_atom_site_fract_y
_atom_site_fract_z
Dy1 0.500 0.500 0.126
Sc1 0.500 0.500 0.585
Zn1 0.000 0.000 0.380
In1 0.000 0.000 0.837
```



The following is a DFT calculation (PBE) of crystalline DyZrScIn at its relaxed geometry.

Output
**Symmetry**: F-43m (216)
**DFT formation energy**: -0.35 eV/f.u.

The structure in CIF format:
```
data_DyZrScIn
_cell_length_a 5.204
_cell_length_b 5.204
_cell_length_c 5.204
_cell_angle_alpha 60.00
_cell_angle_beta 60.00
_cell_angle_gamma 60.00
_symmetry_space_group_name_H-M 'P 1'
_symmetry_Int_Tables_number 1
_symmetry_space_group_name_Hall 'P 1'
loop_
_atom_site_label
_atom_site_fract_x
_atom_site_fract_y
_atom_site_fract_z
Sc1 0.000 0.000 0.000
In1 0.750 0.750 0.750
Zr1 0.250 0.250 0.250
Dy1 0.500 0.500 0.500
```